(1)
Zr2MnMo: optimized geometry, PBE-GGA.

Lattice parameters (Å, degrees): 3.341 3.341 6.569 90.00 90.00 90.00
Fractional positions:
Zr1 0.000 0.000 0.249
Zr2 0.000 0.000 0.751
Mn1 0.500 0.500 0.500
Mo1 0.500 0.500 0.000

## Properties
Formation enthalpy at 0 K: 0.02 eV/atom
Offset from the most stable computed form: 2 meV/atom
Electronic total energy: -37.01 eV/f.u.

(2)
Pr8Se6S: optimized geometry, PBE-GGA.

Lattice parameters (Å, degrees): 10.703 10.703 4.345 90.00 90.00 120.00
Fractional positions:
Pr1 0.033 0.718 0.264
Pr2 0.282 0.315 0.264
Pr3 0.315 0.033 0.736
Pr4 0.333 0.667 0.744
Pr5 0.667 0.333 0.256
Pr6 0.685 0.967 0.264
Pr7 0.718 0.685 0.736
Pr8 0.967 0.282 0.736
Se1 0.128 0.481 0.243
Se2 0.353 0.872 0.243
Se3 0.481 0.353 0.757
Se4 0.519 0.647 0.243
Se5 0.647 0.128 0.757
Se6 0.872 0.519 0.757
S1 0.000 0.000 0.500

## Properties
Energy relative to the elements, uncorrected: -135.6 kJ per mole of atoms
Electronic total energy: -84.36 eV/f.u.

(3)
Na2AcGe2: optimized geometry, PBE-GGA.

Lattice parameters (Å, degrees): 13.684 13.684 13.684 161.05 160.37 27.42
Fractional positions:
Na1 0.057 0.307 0.750
Na2 0.442 0.192 0.250
Na3 0.558 0.808 0.750
Na4 0.943 0.693 0.250
Ac1 0.320 0.570 0.750
Ac2 0.680 0.430 0.250
Ge1 0.134 0.884 0.250
Ge2 0.228 0.978 0.250
Ge3 0.772 0.022 0.750
Ge4 0.866 0.116 0.750

## Properties
Formation enthalpy at 0 K: -0.37 eV/atom
Offset from the most stable computed form: 0 meV/atom
Electronic total energy: -17.82 eV/f.u.